<P>
PmNdMg | PBE | relaxed

```
PmNdMg
1.0
-1.137 -2.433 -2.645
3.377 -1.672 0.086
-3.276 -2.059 5.987
Nd Pm Mg
1 1 1
direct
0.009 0.009 0.019
0.323 0.323 0.646
0.668 0.668 0.335
```



<Q>
PmNdMg | PBE | relaxed

```
PmNdMg
1.0
5.669 0.000 0.000
0.000 10.661 0.000
0.000 0.000 6.188
Pm Mg Nd
4 4 4
direct
0.750 0.984 0.175
0.750 0.516 0.675
0.250 0.484 0.325
0.250 0.016 0.825
0.750 0.843 0.682
0.250 0.343 0.818
0.750 0.657 0.182
0.250 0.157 0.318
0.250 0.686 0.862
0.250 0.814 0.362
0.750 0.314 0.138
0.750 0.186 0.638
```



<R>
PmNdMg | PBE | relaxed

```
PmNdMg
1.0
3.467 0.000 0.000
0.000 5.563 0.000
0.000 -2.782 4.818
Nd Pm Mg
1 1 1
direct
0.381 0.333 0.667
0.949 0.000 0.000
0.670 0.667 0.333
```



Most stable: <P>



<P>
Pm2NdMg4 | PBE | relaxed

```
Pm2NdMg4
1.0
-4.654 -2.824 0.182
1.807 -3.235 -3.992
4.402 -1.553 6.967
Pm Mg Nd
2 4 1
direct
0.254 0.254 0.507
0.746 0.746 0.493
0.617 0.117 0.234
0.383 0.883 0.766
0.883 0.383 0.766
0.117 0.617 0.234
0.000 0.000 0.000
```



<Q>
Pm2NdMg4 | PBE | relaxed

```
Pm2NdMg4
1.0
5.587 0.000 0.000
0.000 6.084 0.000
0.000 -3.042 6.551
Mg Pm Nd
4 2 1
direct
0.500 0.617 0.234
0.000 0.745 0.490
0.000 0.255 0.510
0.500 0.383 0.766
0.500 0.136 0.271
0.500 0.864 0.729
0.000 0.500 0.000
```



Most stable: <P>



<P>
Pm4Nd5Mg2 | PBE | relaxed

```
Pm4Nd5Mg2
1.0
3.520 0.000 0.000
0.000 8.876 0.001
0.000 -0.852 11.615
Nd Pm Mg
5 4 2
direct
0.000 0.568 0.296
0.000 0.432 0.704
0.000 0.796 0.833
0.000 0.500 0.000
0.000 0.204 0.167
0.500 0.149 0.885
0.500 0.851 0.115
0.500 0.279 0.452
0.500 0.721 0.548
0.000 0.053 0.632
0.000 0.947 0.368
```



<Q>
Pm4Nd5Mg2 | PBE | relaxed

```
Pm4Nd5Mg2
1.0
-2.293 0.865 2.619
-6.334 -4.910 -3.924
10.401 -5.016 8.307
Pm Nd Mg
4 5 2
direct
0.289 0.398 0.577
0.072 0.430 0.144
0.928 0.570 0.856
0.711 0.602 0.423
0.817 0.104 0.634
0.131 0.160 0.261
0.500 0.000 0.000
0.183 0.896 0.366
0.869 0.840 0.739
0.554 0.733 0.109
0.446 0.267 0.891
```



Most stable: <Q>



<P>
Pm2Nd7Mg2 | PBE | relaxed

```
Pm2Nd7Mg2
1.0
-7.286 1.784 -4.412
-4.525 -3.640 3.287
-1.845 5.823 2.688
Mg Pm Nd
2 2 7
direct
0.834 0.386 0.386
0.166 0.614 0.614
0.500 0.678 0.322
0.500 0.322 0.678
0.416 0.857 0.857
0.000 0.000 0.000
0.822 0.886 0.529
0.178 0.471 0.114
0.822 0.529 0.886
0.584 0.143 0.143
0.178 0.114 0.471
```



<Q>
Pm2Nd7Mg2 | PBE | relaxed

```
Pm2Nd7Mg2
1.0
-5.156 4.479 4.129
1.396 -4.716 3.803
5.577 2.927 4.902
Mg Pm Nd
2 2 7
direct
0.769 0.500 0.769
0.231 0.500 0.231
0.206 0.594 0.794
0.794 0.406 0.206
0.419 0.188 0.062
0.062 0.812 0.419
0.000 0.000 0.000
0.420 0.201 0.580
0.580 0.799 0.420
0.938 0.188 0.581
0.581 0.812 0.938
```



Most stable: <P>



<P>
Pm3Nd2Mg | PBE | relaxed

```
Pm3Nd2Mg
1.0
-0.210 -1.043 3.313
8.277 0.240 0.600
-4.408 7.668 0.307
Pm Nd Mg
3 2 1
direct
0.000 0.878 0.000
0.603 0.664 0.207
0.397 0.457 0.793
0.259 0.020 0.519
0.741 0.501 0.481
0.500 0.223 0.000
```



<Q>
Pm3Nd2Mg | PBE | relaxed

```
Pm3Nd2Mg
1.0
5.086 0.000 0.000
0.000 4.776 -1.615
0.000 0.083 8.114
Mg Nd Pm
1 2 3
direct
0.000 0.000 0.000
0.000 0.665 0.329
0.000 0.335 0.671
0.500 0.167 0.335
0.500 0.500 0.000
0.500 0.833 0.665
```



Most stable: <Q>